AlCu2Au, single point on PBEsol structure, DFT meta-GGA SCAN; SG = P4mm (99); calculated formation energy = -0.290 eV per atom; uncorrected energy = -27.12 eV/atom
1.0
3.104 0.000 0.000
0.000 3.104 0.000
0.000 0.000 5.601
Al Cu Au
1 2 1
Direct
0.000 0.000 0.000 Al
0.000 0.000 0.547 Cu
0.500 0.500 0.762 Cu
0.500 0.500 0.267 Au

=====

Cd2ReSb, single point on PBEsol structure, DFT meta-GGA SCAN; SG = Immm (71); energy relative to the elements, uncorrected = 449 meV/atom; uncorrected energy = -41.85 eV/atom
1.0
2.929 0.000 0.000
0.000 4.369 0.000
0.000 0.000 13.327
Cd Re Sb
4 2 2
Direct
0.000 0.000 0.193 Cd
0.000 0.000 0.807 Cd
0.500 0.500 0.307 Cd
0.500 0.500 0.693 Cd
0.000 0.500 0.500 Re
0.500 0.000 0.000 Re
0.000 0.500 0.000 Sb
0.500 0.000 0.500 Sb

=====

SmSiRu, single point on PBEsol structure, DFT meta-GGA SCAN; SG = P4/nmm (129); energy relative to the elements, uncorrected = -879 meV/atom; uncorrected energy = -30.64 eV/atom
1.0
4.165 0.000 0.000
0.000 4.165 0.000
0.000 0.000 6.709
Sm Si Ru
2 2 2
Direct
0.250 0.250 0.177 Sm
0.750 0.750 0.823 Sm
0.250 0.250 0.682 Si
0.750 0.750 0.318 Si
0.250 0.750 0.500 Ru
0.750 0.250 0.500 Ru

=====

AuSeBr2Cl, single point on PBEsol structure, DFT meta-GGA SCAN; SG = P4/mmm (123); energy relative to the elements, uncorrected = 367 meV/atom; uncorrected energy = -26.86 eV/atom
1.0
5.102 0.000 0.000
0.000 5.102 0.000
0.000 0.000 5.143
Au Se Br Cl
1 1 2 1
Direct
0.000 0.000 0.000 Au
0.000 0.000 0.500 Se
0.000 0.500 0.000 Br
0.500 0.000 0.000 Br
0.500 0.500 0.500 Cl

=====

Ba2TlTcBi, single point on PBEsol structure, DFT meta-GGA SCAN; SG = P4/mmm (123); calculated formation energy = 0.777 eV per atom; uncorrected energy = -52.24 eV/atom
1.0
6.586 0.000 0.000
0.000 6.586 0.000
0.000 0.000 5.712
Ba Tl Tc Bi
2 1 1 1
Direct
0.000 0.500 0.000 Ba
0.500 0.000 0.000 Ba
0.000 0.000 0.500 Tl
0.500 0.500 0.500 Tc
0.000 0.000 0.000 Bi

=====

Ba2TlH7O7, single point on PBEsol structure, DFT meta-GGA SCAN; SG = C2/c (15); uncorrected energy = -14.44 eV/atom
1.0
5.883 -3.263 0.000
5.883 3.263 0.000
-1.521 0.000 10.286
Ba Tl H O
4 2 14 14
Direct
0.068 0.693 0.871 Ba
0.307 0.932 0.629 Ba
0.693 0.068 0.371 Ba
0.932 0.307 0.129 Ba
0.000 0.500 0.500 Tl
0.500 0.000 0.000 Tl
0.075 0.193 0.847 H
0.187 0.539 0.293 H
0.193 0.075 0.347 H
0.351 0.649 0.250 H
0.385 0.410 0.120 H
0.410 0.385 0.620 H
0.461 0.813 0.207 H
0.539 0.187 0.793 H
0.590 0.615 0.380 H
0.615 0.590 0.880 H
0.649 0.351 0.750 H
0.807 0.925 0.653 H
0.813 0.461 0.707 H
0.925 0.807 0.153 H
0.018 0.609 0.299 O
0.050 0.146 0.396 O
0.146 0.050 0.896 O
0.293 0.376 0.044 O
0.376 0.293 0.544 O
0.391 0.982 0.201 O
0.499 0.501 0.750 O
0.501 0.499 0.250 O
0.609 0.018 0.799 O
0.624 0.707 0.456 O
0.707 0.624 0.956 O
0.854 0.950 0.104 O
0.950 0.854 0.604 O
0.982 0.391 0.701 O

=====

CdCoCl2, single point on PBEsol structure, DFT meta-GGA SCAN; polymorph energy (0 for the lowest one) = 0.4069 eV per atom; SG = I-4m2 (119); energy relative to the elements, uncorrected = -96 meV/atom; uncorrected energy = -16.02 eV/atom
1.0
3.678 0.000 0.000
0.000 3.678 0.000
0.000 0.000 11.155
Cd Co Cl
2 2 4
Direct
0.000 0.000 0.000 Cd
0.500 0.500 0.500 Cd
0.000 0.500 0.750 Co
0.500 0.000 0.250 Co
0.000 0.000 0.500 Cl
0.000 0.500 0.250 Cl
0.500 0.000 0.750 Cl
0.500 0.500 0.000 Cl

=====

KCdIn, single point on PBEsol structure, DFT meta-GGA SCAN; polymorph energy (0 for the lowest one) = 0.0763 eV per atom; SG = P-6m2 (187); calculated formation energy = -0.134 eV per atom; uncorrected energy = -24.18 eV/atom
1.0
5.322 0.000 0.000
-2.661 4.609 0.000
0.000 0.000 3.440
K Cd In
1 1 1
Direct
0.000 0.000 0.000 K
0.333 0.667 0.500 Cd
0.667 0.333 0.500 In

=====

Zr3MnSb, single point on PBEsol structure, DFT meta-GGA SCAN; SG = Pm-3m (221); energy relative to the elements, uncorrected = 688 meV/atom; uncorrected energy = -28.83 eV/atom
1.0
5.209 0.000 0.000
0.000 5.209 0.000
0.000 0.000 5.209
Zr Mn Sb
3 1 1
Direct
0.000 0.000 0.500 Zr
0.000 0.500 0.000 Zr
0.500 0.000 0.000 Zr
0.500 0.500 0.500 Mn
0.000 0.000 0.000 Sb

=====

Li2AgAu, single point on PBEsol structure, DFT meta-GGA SCAN; polymorph energy (0 for the lowest one) = 0.0142 eV per atom; SG = P4/mmm (123); calculated formation energy = -0.426 eV per atom; uncorrected energy = -26.75 eV/atom
1.0
4.202 0.000 0.000
0.000 4.202 0.000
0.000 0.000 3.312
Li Ag Au
2 1 1
Direct
0.000 0.500 0.000 Li
0.500 0.000 0.000 Li
0.000 0.000 0.500 Ag
0.500 0.500 0.500 Au

=====

BaSb4, single point on PBEsol structure, DFT meta-GGA SCAN; SG = Im-3m (229); energy relative to the elements, uncorrected = 420 meV/atom; uncorrected energy = -37.30 eV/atom
1.0
7.268 0.000 0.000
0.000 7.268 0.000
0.000 0.000 7.268
Ba Sb
2 8
Direct
0.000 0.000 0.000 Ba
0.500 0.500 0.500 Ba
0.250 0.250 0.250 Sb
0.250 0.250 0.750 Sb
0.250 0.750 0.250 Sb
0.250 0.750 0.750 Sb
0.750 0.250 0.250 Sb
0.750 0.250 0.750 Sb
0.750 0.750 0.250 Sb
0.750 0.750 0.750 Sb

=====

WBr, single point on PBEsol structure, DFT meta-GGA SCAN; polymorph energy (0 for the lowest one) = 0.0000 eV per atom; SG = Pmmn (59); energy relative to the elements, uncorrected = 162 meV/atom; uncorrected energy = -44.41 eV/atom
1.0
3.050 0.000 0.000
0.000 3.371 0.000
0.000 0.000 8.541
W Br
2 2
Direct
0.250 0.250 0.082 W
0.750 0.750 0.918 W
0.250 0.750 0.678 Br
0.750 0.250 0.322 Br